(1)
The following is a GGA-PBE calculation of a relaxed structure of Sc12Ga6Tc, from Alexandria.

Cell and atoms, written as POSCAR:
```
Sc12Ga6Tc
1.0
7.8568 -0.0560 -0.0671
-1.2464 7.7575 -0.0671
-1.2464 -1.4522 7.6206
Sc Ga Tc
12 6 1
Cartesian
7.0957 2.3212 0.4275
1.2187 -0.8956 7.3234
2.9372 2.1537 6.1631
2.4267 4.0956 1.3234
3.6804 0.7625 3.2074
-1.7318 3.9281 7.0590
5.1682 3.7643 3.2203
6.4339 -0.7652 5.1263
0.1957 2.4851 4.2662
1.6835 5.4868 4.2791
-1.0700 7.0145 2.3603
4.1452 7.1449 0.1631
1.4488 0.1224 4.7347
1.0005 4.1143 6.5200
-0.0986 4.3992 2.2733
3.9151 6.1269 2.7519
5.4625 1.8501 5.2132
4.3633 2.1350 0.9665
0.0000 0.0000 0.0000
```

calculated volume: 24.34 Å³ per atom
size of the total moment: 0.000 μB per formula unit
D(E_F): 16.97 states/eV/cell
DFT formation energy: -13.8 kJ/mol of atoms

=====

(2)
The following is a GGA-PBE calculation of a relaxed structure of Sc2Ga6Tc, from Alexandria.

Cell and atoms, written as POSCAR:
```
Sc2Ga6Tc
1.0
-4.3717 -4.1852 -0.0697
1.5790 -1.7672 4.9584
-2.2121 2.2000 4.5242
Ga Sc Tc
6 2 1
Cartesian
-2.6947 -0.1375 5.4228
-2.3100 -3.6149 3.9900
-3.0620 -2.7519 1.5909
-0.8640 -2.0533 5.6325
-1.9428 -1.0004 7.8219
-4.1407 -1.6991 3.7803
-0.6602 -0.2864 3.1474
-4.3446 -3.4660 6.2655
0.0000 0.0000 0.0000
```

calculated volume: 17.61 Å³ per atom
size of the total moment: 0.000 μB per formula unit
D(E_F): 3.28 states/eV/cell
DFT formation energy: -35.8 kJ/mol of atoms

=====

(3)
The following is a GGA-PBE calculation of a relaxed structure of Sc3Ga4Tc, from Alexandria.

Cell and atoms, written as POSCAR:
```
Sc3Ga4Tc
1.0
4.2859 0.0000 0.0000
0.0000 6.2996 0.0000
-2.1430 -3.1498 5.8660
Sc Ga Tc
3 4 1
Cartesian
0.0000 3.1498 0.0000
0.0000 0.0000 1.5841
2.1430 3.1498 4.2819
0.0000 -1.3137 4.0302
2.1430 4.4634 1.8358
0.0000 1.3137 4.0302
2.1430 1.8361 1.8358
2.1430 0.0000 0.0000
```

calculated volume: 19.80 Å³ per atom
size of the total moment: 0.000 μB per formula unit
D(E_F): 3.61 states/eV/cell
DFT formation energy: -33.3 kJ/mol of atoms

=====

(4)
The following is a GGA-PBE calculation of a relaxed structure of Sc4GaTc2, from Alexandria.

Cell and atoms, written as POSCAR:
```
Sc4GaTc2
1.0
-2.9882 -2.9612 2.8836
0.9475 -3.9543 -3.0789
3.8618 -4.9967 3.3813
Tc Sc Ga
2 4 1
Cartesian
-0.0539 -3.7624 0.5911
1.8749 -8.1498 2.5950
-1.4941 -1.4806 1.4418
0.4737 -1.9771 -1.5394
0.0292 -7.5680 1.2798
1.7918 -4.3442 1.9063
0.0000 0.0000 0.0000
```

calculated volume: 23.00 Å³ per atom
size of the total moment: 0.000 μB per formula unit
energy above the lowest structure with this stoichiometry: 590 meV/atom
D(E_F): 5.90 states/eV/cell
DFT formation energy: 39.3 kJ/mol of atoms

=====

| no. | total energy (eV per cell) |
| --- | --- |
| 1 | -107.21 |
| 2 | -44.53 |
| 3 | -44.23 |
| 4 | -46.23 |